1.
Below is a PBEsol-optimized structure of NaBi2Ir2, with properties calculated at the meta-GGA SCAN level.

ΔE_f ... 1.0 eV per formula unit

```
data_NaBi2Ir2
_chemical_formula_sum 'Na2 Bi4 Ir4'
_cell_length_a 4.874
_cell_length_b 4.874
_cell_length_c 9.991
_cell_angle_alpha 90.00
_cell_angle_beta 90.00
_cell_angle_gamma 90.00
_space_group_name_H-M_alt 'I 4/m m m'
_space_group_IT_number 139
_space_group_name_Hall '-I 4 2'
loop_
_atom_site_label
_atom_site_type_symbol
_atom_site_fract_x
_atom_site_fract_y
_atom_site_fract_z
Na1 Na 0.000 0.000 0.000
Bi1 Bi 0.000 0.500 0.250
Ir1 Ir 0.000 0.000 0.376
```


2.
Below is a PBEsol-optimized structure of AgAs2, with properties calculated at the meta-GGA SCAN level.

ΔE_f ... 1.4 eV per formula unit

```
data_AgAs2
_chemical_formula_sum 'Ag2 As4'
_cell_length_a 4.7363
_cell_length_b 4.7363
_cell_length_c 5.6612
_cell_angle_alpha 90.00
_cell_angle_beta 90.00
_cell_angle_gamma 120.00
_space_group_name_H-M_alt 'P 63/m m c'
_space_group_IT_number 194
_space_group_name_Hall '-P 6c 2c'
loop_
_atom_site_label
_atom_site_type_symbol
_atom_site_fract_x
_atom_site_fract_y
_atom_site_fract_z
Ag1 Ag 0.3333 0.6667 0.2500
As1 As 0.0000 0.0000 0.0000
As2 As 0.3333 0.6667 0.7500
```


3.
Below is a PBEsol-optimized structure of BeSnAu2, with properties calculated at the meta-GGA SCAN level.

ΔE_f ... 0.8 eV per formula unit

```
data_BeSnAu2
_chemical_formula_sum 'Be4 Sn4 Au8'
_cell_length_a 6.489
_cell_length_b 6.489
_cell_length_c 6.489
_cell_angle_alpha 90.00
_cell_angle_beta 90.00
_cell_angle_gamma 90.00
_space_group_name_H-M_alt 'F m -3 m'
_space_group_IT_number 225
_space_group_name_Hall '-F 4 2 3'
loop_
_atom_site_label
_atom_site_type_symbol
_atom_site_fract_x
_atom_site_fract_y
_atom_site_fract_z
Be1 Be 0.000 0.000 0.000
Sn1 Sn 0.000 0.000 0.500
Au1 Au 0.250 0.250 0.250
```


4.
Below is a PBEsol-optimized structure of ZrSc2Fe, with properties calculated at the meta-GGA SCAN level.

ΔE_f ... 0.1 eV per formula unit
E above lowest polymorph ... 0.049 eV/atom

```
data_ZrSc2Fe
_chemical_formula_sum 'Zr1 Sc2 Fe1'
_cell_length_a 3.092
_cell_length_b 3.092
_cell_length_c 7.748
_cell_angle_alpha 90.00
_cell_angle_beta 90.00
_cell_angle_gamma 90.00
_space_group_name_H-M_alt 'P 4/m m m'
_space_group_IT_number 123
_space_group_name_Hall '-P 4 2'
loop_
_atom_site_label
_atom_site_type_symbol
_atom_site_fract_x
_atom_site_fract_y
_atom_site_fract_z
Zr1 Zr 0.000 0.000 0.000
Sc1 Sc 0.500 0.500 0.310
Fe1 Fe 0.000 0.000 0.500
```


5.
Below is a PBEsol-optimized structure of Tb2NiIr, with properties calculated at the meta-GGA SCAN level.

ΔE_f ... -2.9 eV per formula unit

```
data_Tb2NiIr
_chemical_formula_sum 'Tb8 Ni4 Ir4'
_cell_length_a 6.730
_cell_length_b 6.730
_cell_length_c 6.730
_cell_angle_alpha 90.00
_cell_angle_beta 90.00
_cell_angle_gamma 90.00
_space_group_name_H-M_alt 'F m -3 m'
_space_group_IT_number 225
_space_group_name_Hall '-F 4 2 3'
loop_
_atom_site_label
_atom_site_type_symbol
_atom_site_fract_x
_atom_site_fract_y
_atom_site_fract_z
Tb1 Tb 0.250 0.250 0.250
Ni1 Ni 0.000 0.000 0.000
Ir1 Ir 0.000 0.000 0.500
```


6.
Below is a PBEsol-optimized structure of ScMn2Se, with properties calculated at the meta-GGA SCAN level.

Energy relative to the elements, uncorrected ... -0.228 eV per atom

```
data_ScMn2Se
_chemical_formula_sum 'Sc2 Mn4 Se2'
_cell_length_a 3.793
_cell_length_b 3.793
_cell_length_c 8.132
_cell_angle_alpha 90.00
_cell_angle_beta 90.00
_cell_angle_gamma 90.00
_space_group_name_H-M_alt 'I -4 m 2'
_space_group_IT_number 119
_space_group_name_Hall 'I -4 -2'
loop_
_atom_site_label
_atom_site_type_symbol
_atom_site_fract_x
_atom_site_fract_y
_atom_site_fract_z
Sc1 Sc 0.000 0.000 0.000
Mn1 Mn 0.000 0.000 0.500
Mn2 Mn 0.000 0.500 0.750
Se1 Se 0.000 0.500 0.250
```


7.
Below is a PBEsol-optimized structure of Nb2TcGe2, with properties calculated at the meta-GGA SCAN level.

ΔE_f ... -1.8 eV per formula unit

```
data_Nb2TcGe2
_chemical_formula_sum 'Nb4 Tc2 Ge4'
_cell_length_a 6.561
_cell_length_b 6.561
_cell_length_c 3.661
_cell_angle_alpha 90.00
_cell_angle_beta 90.00
_cell_angle_gamma 90.00
_space_group_name_H-M_alt 'P 4/m b m'
_space_group_IT_number 127
_space_group_name_Hall '-P 4 2ab'
loop_
_atom_site_label
_atom_site_type_symbol
_atom_site_fract_x
_atom_site_fract_y
_atom_site_fract_z
Nb1 Nb 0.166 0.334 0.000
Tc1 Tc 0.000 0.000 0.500
Ge1 Ge 0.138 0.638 0.500
```


8.
Below is a PBEsol-optimized structure of BaSiPt2, with properties calculated at the meta-GGA SCAN level.

Energy relative to the elements, uncorrected ... -0.876 eV per atom

```
data_BaSiPt2
_chemical_formula_sum 'Ba1 Si1 Pt2'
_cell_length_a 4.351
_cell_length_b 4.754
_cell_length_c 4.805
_cell_angle_alpha 90.00
_cell_angle_beta 90.00
_cell_angle_gamma 90.00
_space_group_name_H-M_alt 'P m m 2'
_space_group_IT_number 25
_space_group_name_Hall 'P 2 -2'
loop_
_atom_site_label
_atom_site_type_symbol
_atom_site_fract_x
_atom_site_fract_y
_atom_site_fract_z
Ba1 Ba 0.000 0.000 0.000
Si1 Si 0.500 0.500 0.337
Pt1 Pt 0.000 0.500 0.515
Pt2 Pt 0.500 0.500 0.858
```


9.
Below is a PBEsol-optimized structure of Mn4ReRu, with properties calculated at the meta-GGA SCAN level.

ΔE_f ... 0.3 eV per formula unit

```
data_Mn4ReRu
_chemical_formula_sum 'Mn16 Re4 Ru4'
_cell_length_a 6.506
_cell_length_b 6.506
_cell_length_c 6.506
_cell_angle_alpha 90.00
_cell_angle_beta 90.00
_cell_angle_gamma 90.00
_space_group_name_H-M_alt 'F -4 3 m'
_space_group_IT_number 216
_space_group_name_Hall 'F -4 2 3'
loop_
_atom_site_label
_atom_site_type_symbol
_atom_site_fract_x
_atom_site_fract_y
_atom_site_fract_z
Mn1 Mn 0.124 0.124 0.124
Re1 Re 0.000 0.000 0.500
Ru1 Ru 0.250 0.250 0.750
```


10.
Below is a PBEsol-optimized structure of CaTc2Se, with properties calculated at the meta-GGA SCAN level.

Energy relative to the elements, uncorrected ... 0.079 eV per atom

```
data_CaTc2Se
_chemical_formula_sum 'Ca2 Tc4 Se2'
_cell_length_a 10.370
_cell_length_b 3.431
_cell_length_c 4.454
_cell_angle_alpha 90.00
_cell_angle_beta 106.20
_cell_angle_gamma 90.00
_space_group_name_H-M_alt 'C 1 2/m 1'
_space_group_IT_number 12
_space_group_name_Hall '-C 2y'
loop_
_atom_site_label
_atom_site_type_symbol
_atom_site_fract_x
_atom_site_fract_y
_atom_site_fract_z
Ca1 Ca 0.000 0.000 0.000
Tc1 Tc 0.223 0.000 0.643
Se1 Se 0.000 0.500 0.500
```


11.
Below is a PBEsol-optimized structure of Mn2TlOs, with properties calculated at the meta-GGA SCAN level.

ΔE_f ... 0.9 eV per formula unit
E above lowest polymorph ... 0.000 eV/atom

```
data_Mn2TlOs
_chemical_formula_sum 'Mn2 Tl1 Os1'
_cell_length_a 4.412
_cell_length_b 4.412
_cell_length_c 3.106
_cell_angle_alpha 90.00
_cell_angle_beta 90.00
_cell_angle_gamma 90.00
_space_group_name_H-M_alt 'P 4/m m m'
_space_group_IT_number 123
_space_group_name_Hall '-P 4 2'
loop_
_atom_site_label
_atom_site_type_symbol
_atom_site_fract_x
_atom_site_fract_y
_atom_site_fract_z
Mn1 Mn 0.000 0.500 0.000
Tl1 Tl 0.000 0.000 0.500
Os1 Os 0.500 0.500 0.500
```


12.
Below is a PBEsol-optimized structure of CsInGe3, with properties calculated at the meta-GGA SCAN level.

ΔE_f ... 9.0 eV per formula unit

```
data_CsInGe3
_chemical_formula_sum 'Cs1 In1 Ge3'
_cell_length_a 5.620
_cell_length_b 5.620
_cell_length_c 5.620
_cell_angle_alpha 90.00
_cell_angle_beta 90.00
_cell_angle_gamma 90.00
_space_group_name_H-M_alt 'P m -3 m'
_space_group_IT_number 221
_space_group_name_Hall '-P 4 2 3'
loop_
_atom_site_label
_atom_site_type_symbol
_atom_site_fract_x
_atom_site_fract_y
_atom_site_fract_z
Cs1 Cs 0.000 0.000 0.000
In1 In 0.500 0.500 0.500
Ge1 Ge 0.000 0.000 0.500
```


13.
Below is a PBEsol-optimized structure of CoSn2Ir, with properties calculated at the meta-GGA SCAN level.

ΔE_f ... 0.5 eV per formula unit

```
data_CoSn2Ir
_chemical_formula_sum 'Co4 Sn8 Ir4'
_cell_length_a 6.377
_cell_length_b 6.377
_cell_length_c 6.377
_cell_angle_alpha 90.00
_cell_angle_beta 90.00
_cell_angle_gamma 90.00
_space_group_name_H-M_alt 'F m -3 m'
_space_group_IT_number 225
_space_group_name_Hall '-F 4 2 3'
loop_
_atom_site_label
_atom_site_type_symbol
_atom_site_fract_x
_atom_site_fract_y
_atom_site_fract_z
Co1 Co 0.000 0.000 0.000
Sn1 Sn 0.250 0.250 0.250
Ir1 Ir 0.000 0.000 0.500
```


| no. | Fermi-level density of states (states/eV per cell) | final energy (eV per atom) |
| --- | --- | --- |
| 1 | 11.7 | -60.512 |
| 2 | 2.7 | -23.458 |
| 3 | 4.7 | -44.443 |
| 4 | 3.6 | -19.307 |
| 5 | 7.7 | -45.922 |
| 6 | 7.0 | -17.935 |
| 7 | 7.6 | -28.266 |
| 8 | 1.6 | -48.364 |
| 9 | 28.8 | -29.777 |
| 10 | 4.7 | -24.887 |
| 11 | 1.8 | -44.966 |
| 12 | 3.3 | -23.900 |
| 13 | 3.5 | -39.941 |